[1]
# Ba2ZrTc

A geometry-optimized Ba2ZrTc structure (GGA-PBE, the Alexandria database).

Calculated values
Energy relative to the elements, eV/atom: 0.354

Unit cell a=4.454 b=4.454 c=9.616 alpha=103.01 beta=103.01 gamma=59.95
Element x y z (fractional)
1 Ba 0.000 0.000 0.000
2 Ba 0.177 0.177 0.545
3 Zr 0.422 0.422 0.272
4 Tc 0.755 0.755 0.273

***

[2]
# Ba2ZrTc

A geometry-optimized Ba2ZrTc structure (GGA-PBE, the Alexandria database).

Calculated values
Energy relative to the elements, eV/atom: 1.060

Unit cell a=3.456 b=5.535 c=6.134 alpha=90.00 beta=102.78 gamma=90.00
Element x y z (fractional)
1 Ba 0.103 0.000 0.262
2 Ba 0.897 0.000 0.738
3 Zr 0.500 0.500 0.000
4 Tc 0.500 0.500 0.500

***

[3]
# BaZr2Tc

A geometry-optimized BaZr2Tc structure (GGA-PBE, the Alexandria database).

Calculated values
Energy relative to the elements, eV/atom: 0.640

Unit cell a=5.043 b=5.043 c=5.043 alpha=60.00 beta=60.00 gamma=60.00
Element x y z (fractional)
1 Ba 0.000 0.000 0.000
2 Zr 0.250 0.250 0.250
3 Zr 0.750 0.750 0.750
4 Tc 0.500 0.500 0.500

***

[4]
# BaZrTc2

A geometry-optimized BaZrTc2 structure (GGA-PBE, the Alexandria database).

Calculated values
Energy relative to the elements, eV/atom: 0.919

Unit cell a=9.792 b=9.792 c=9.792 alpha=150.23 beta=150.23 gamma=42.61
Element x y z (fractional)
1 Ba 0.375 0.625 0.750
2 Ba 0.625 0.375 0.250
3 Zr 0.125 0.875 0.250
4 Zr 0.875 0.125 0.750
5 Tc 0.000 0.000 0.000
6 Tc 0.000 0.000 0.500
7 Tc 0.000 0.500 0.000
8 Tc 0.500 0.000 0.500

***

[5]
# BaZr2Tc

A geometry-optimized BaZr2Tc structure (GGA-PBE, the Alexandria database).

Calculated values
Energy relative to the elements, eV/atom: 0.504

Unit cell a=3.215 b=3.215 c=10.540 alpha=90.00 beta=90.00 gamma=114.16
Element x y z (fractional)
1 Ba 0.000 0.000 0.000
2 Zr 0.000 0.000 0.425
3 Zr 0.500 0.500 0.671
4 Tc 0.500 0.500 0.243

***

[6]
# BaZr2Tc

A geometry-optimized BaZr2Tc structure (GGA-PBE, the Alexandria database).

Calculated values
Energy relative to the elements, eV/atom: 0.358

Unit cell a=8.093 b=8.093 c=8.093 alpha=155.68 beta=147.65 gamma=40.88
Element x y z (fractional)
1 Ba 0.000 0.000 0.000
2 Zr 0.329 0.329 0.000
3 Zr 0.694 0.194 0.500
4 Tc 0.199 0.699 0.500

***

[7]
# BaZrTc2

A geometry-optimized BaZrTc2 structure (GGA-PBE, the Alexandria database).

Calculated values
Energy relative to the elements, eV/atom: 0.866

Unit cell a=4.928 b=4.928 c=3.392 alpha=90.00 beta=90.00 gamma=90.00
Element x y z (fractional)
1 Ba 0.000 0.000 0.000
2 Zr 0.500 0.500 0.000
3 Tc 0.000 0.500 0.500
4 Tc 0.500 0.000 0.500

***

[8]
# Ba2ZrTc

A geometry-optimized Ba2ZrTc structure (GGA-PBE, the Alexandria database).

Calculated values
Energy relative to the elements, eV/atom: 1.071

Unit cell a=6.454 b=6.454 c=3.223 alpha=90.00 beta=90.00 gamma=122.28
Element x y z (fractional)
1 Ba 0.000 0.500 0.000
2 Ba 0.500 0.000 0.000
3 Zr 0.000 0.000 0.500
4 Tc 0.500 0.500 0.500

***

[9]
# Ba3Te2

A geometry-optimized Ba3Te2 structure (GGA-PBE, the Alexandria database).

Calculated values
Energy, eV/cell: -36.601

Unit cell a=8.962 b=8.848 c=10.497 alpha=54.39 beta=53.39 gamma=72.22
Element x y z (fractional)
1 Ba 0.000 0.000 0.000
2 Ba 0.156 0.599 0.738
3 Ba 0.250 0.250 0.250
4 Ba 0.512 0.743 0.094
5 Ba 0.599 0.156 0.507
6 Ba 0.743 0.512 0.651
7 Te 0.195 0.379 0.528
8 Te 0.352 0.722 0.871
9 Te 0.379 0.195 0.898
10 Te 0.722 0.352 0.055

***

[10]
# Ba4Te

A geometry-optimized Ba4Te structure (GGA-PBE, the Alexandria database).

Calculated values
Energy, eV/cell: -13.528

Unit cell a=6.816 b=6.816 c=6.816 alpha=90.00 beta=90.00 gamma=90.00
Element x y z (fractional)
1 Ba 0.000 0.000 0.000
2 Ba 0.000 0.500 0.500
3 Ba 0.500 0.000 0.500
4 Ba 0.500 0.500 0.000
5 Te 0.500 0.500 0.500

***

[11]
# Ba2Te

A geometry-optimized Ba2Te structure (GGA-PBE, the Alexandria database).

Calculated values
Energy, eV/cell: -19.511

Unit cell a=10.398 b=10.398 c=5.173 alpha=90.00 beta=90.00 gamma=151.99
Element x y z (fractional)
1 Ba 0.078 0.922 0.750
2 Ba 0.253 0.747 0.250
3 Ba 0.747 0.253 0.750
4 Ba 0.922 0.078 0.250
5 Te 0.389 0.611 0.750
6 Te 0.611 0.389 0.250

***

[12]
# BaTe

A geometry-optimized BaTe structure (GGA-PBE, the Alexandria database).

Calculated values
Energy, eV/cell: -17.033

Unit cell a=9.028 b=9.028 c=9.028 alpha=31.51 beta=31.51 gamma=31.51
Element x y z (fractional)
1 Ba 0.000 0.000 0.000
2 Ba 0.169 0.169 0.169
3 Te 0.584 0.584 0.584
4 Te 0.752 0.752 0.752

***

[13]
# Ba2Te3

A geometry-optimized Ba2Te3 structure (GGA-PBE, the Alexandria database).

Calculated values
Energy, eV/cell: -19.484

Unit cell a=8.992 b=8.992 c=8.992 alpha=34.29 beta=34.29 gamma=34.29
Element x y z (fractional)
1 Ba 0.089 0.089 0.089
2 Ba 0.911 0.911 0.911
3 Te 0.330 0.330 0.330
4 Te 0.500 0.500 0.500
5 Te 0.670 0.670 0.670

***

[14]
# Ba4Te

A geometry-optimized Ba4Te structure (GGA-PBE, the Alexandria database).

Calculated values
Energy, eV/cell: -13.127

Unit cell a=7.100 b=7.100 c=7.100 alpha=109.47 beta=109.47 gamma=109.47
Element x y z (fractional)
1 Ba 0.000 0.000 0.500
2 Ba 0.000 0.500 0.000
3 Ba 0.500 0.000 0.000
4 Ba 0.500 0.500 0.500
5 Te 0.000 0.000 0.000

***

DOS(E_F) (states/eV/f.u.)
6.57, 5.95, 6.56, 5.29, 6.28, 5.12, 5.97, 4.18, 3.07, 9.43, 2.00, 0.00, 2.47, 6.05